(1)
Computed, not measured: a relaxed structure of DyNiRh2 at the GGA-PBE level of DFT.

Energy relative to the elements = -1.70 eV per formula unit
Polymorph energy (0 for the lowest one) = 131.8 meV/atom
Magnetic moment = 0.001 μB/f.u.

a b c (Å): 3.9115 4.0350 4.0350
angles (deg): 90.00 90.00 90.00
Fractional coordinates of all 4 atoms:
Ni1 0.5000 0.0000 0.0000
Rh1 0.0000 0.5000 0.0000
Rh2 0.0000 0.0000 0.5000
Dy1 0.5000 0.5000 0.5000


(2)
Computed, not measured: a relaxed structure of CaLaPmDy at the GGA-PBE level of DFT.

Energy relative to the elements = 0.47 eV per formula unit
Polymorph energy (0 for the lowest one) = 67.4 meV/atom
Magnetic moment = 0.000 μB/f.u.

a b c (Å): 5.8771 5.8771 5.8771
angles (deg): 60.00 60.00 60.00
Fractional coordinates of all 4 atoms:
Dy1 0.7500 0.7500 0.7500
La1 0.0000 0.0000 0.0000
Ca1 0.2500 0.2500 0.2500
Pm1 0.5000 0.5000 0.5000


(3)
Computed, not measured: a relaxed structure of TbNdMgZn at the GGA-PBE level of DFT.

Energy relative to the elements = -0.71 eV per formula unit
Polymorph energy (0 for the lowest one) = 32.2 meV/atom
Magnetic moment = 0.000 μB/f.u.

a b c (Å): 5.2757 5.2757 5.2757
angles (deg): 60.00 60.00 60.00
Fractional coordinates of all 4 atoms:
Tb1 0.7500 0.7500 0.7500
Zn1 0.0000 0.0000 0.0000
Mg1 0.5000 0.5000 0.5000
Nd1 0.2500 0.2500 0.2500


(4)
Computed, not measured: a relaxed structure of KMoP2Os at the GGA-PBE level of DFT.

Energy relative to the elements = 6.63 eV per formula unit
Magnetic moment = 4.883 μB/f.u.

a b c (Å): 4.5813 5.8361 4.5813
angles (deg): 90.00 90.00 90.00
Site moments in Bohr magnetons follow the coordinates.
Fractional coordinates of all 5 atoms:
Mo1 0.5000 0.5000 0.5000  3.90
P1 0.0000 0.0000 0.5000  -0.11
P2 0.5000 0.0000 0.0000  -0.06
K1 0.0000 0.5000 0.0000  0.05
Os1 0.0000 0.0000 0.0000  0.15


(5)
Computed, not measured: a relaxed structure of K2AsO2 at the GGA-PBE level of DFT.

Polymorph energy (0 for the lowest one) = 167.7 meV/atom
Magnetic moment = 0.912 μB/f.u.
ΔE_f (raw) = 0.104 eV per atom

a b c (Å): 4.8076 4.8076 5.6254
angles (deg): 64.70 64.70 90.00
Site moments in Bohr magnetons follow the coordinates.
Fractional coordinates of all 5 atoms:
As1 0.0000 0.0000 0.0000  0.49
O1 0.2500 0.7500 0.5000  -0.06
K1 0.6555 0.6555 0.6890  0.01
O2 0.7500 0.2500 0.5000  -0.06
K2 0.3445 0.3445 0.3110  0.01


(6)
Computed, not measured: a relaxed structure of TaPRh2 at the GGA-PBE level of DFT.

Energy relative to the elements = -1.66 eV per formula unit
Magnetic moment = 0.000 μB/f.u.

a b c (Å): 2.8806 2.8806 6.9871
angles (deg): 90.00 90.00 90.00
Fractional coordinates of all 4 atoms:
Rh1 0.0000 0.0000 0.2910
Rh2 0.0000 0.0000 0.7090
P1 0.5000 0.5000 0.5000
Ta1 0.5000 0.5000 0.0000


(7)
Computed, not measured: a relaxed structure of LiCuI2 at the GGA-PBE level of DFT.

Polymorph energy (0 for the lowest one) = 0.0 meV/atom
Magnetic moment = 0.000 μB/f.u.
ΔE_f (raw) = -0.667 eV per atom

a b c (Å): 6.2673 6.2673 7.6268
angles (deg): 65.74 65.74 90.00
Fractional coordinates of all 8 atoms:
Li1 0.5000 0.5000 0.0000
I1 0.8750 0.8939 0.7500
I2 0.3750 0.3561 0.7500
Cu1 0.7500 0.2500 0.5000
I3 0.1061 0.6250 0.2500
Li2 0.2500 0.7500 0.5000
Cu2 0.0000 0.0000 0.0000
I4 0.6439 0.1250 0.2500


(8)
Computed, not measured: a relaxed structure of Er4CdPdRh2 at the GGA-PBE level of DFT.

Energy relative to the elements = -5.93 eV per formula unit
Magnetic moment = 0.000 μB/f.u.

a b c (Å): 4.9372 4.9372 8.5562
angles (deg): 73.23 73.23 60.00
Fractional coordinates of all 8 atoms:
Er1 0.3798 0.3798 0.8607
Pd1 0.5000 0.5000 0.5000
Rh1 0.7494 0.7494 0.7519
Rh2 0.2506 0.2506 0.2481
Er2 0.6202 0.6202 0.1393
Er3 0.1289 0.1289 0.6133
Cd1 0.0000 0.0000 0.0000
Er4 0.8711 0.8711 0.3867


(9)
Computed, not measured: a relaxed structure of CaRu2 at the GGA-PBE level of DFT.

Energy relative to the elements = 1.51 eV per formula unit
Magnetic moment = 0.780 μB/f.u.

a b c (Å): 4.4556 4.4556 3.1540
angles (deg): 90.00 90.00 120.00
Site moments in Bohr magnetons follow the coordinates.
Fractional coordinates of all 3 atoms:
Ca1 0.0000 0.0000 0.0000  0.00
Ru1 0.3333 0.6667 0.5576  0.38
Ru2 0.6667 0.3333 0.4424  0.38


(10)
Computed, not measured: a relaxed structure of LaScCo2 at the GGA-PBE level of DFT.

Energy relative to the elements = 0.06 eV per formula unit
Polymorph energy (0 for the lowest one) = 140.2 meV/atom
Magnetic moment = 1.269 μB/f.u.

a b c (Å): 6.5042 6.5042 4.0256
angles (deg): 71.96 71.96 30.47
Site moments in Bohr magnetons follow the coordinates.
Fractional coordinates of all 4 atoms:
Co1 0.7074 0.7074 0.7927  0.88
La1 0.4756 0.4756 0.5244  -0.09
Sc1 0.2384 0.2384 0.2615  -0.17
Co2 0.0786 0.0786 0.9215  0.81


(11)
Computed, not measured: a relaxed structure of K2SrNpBr8 at the GGA-PBE level of DFT.

Magnetic moment = 3.000 μB/f.u.
ΔE_f (raw) = -1.611 eV per atom

a b c (Å): 7.5504 7.1597 9.2494
angles (deg): 89.98 90.01 92.78
Site moments in Bohr magnetons follow the coordinates.
Fractional coordinates of all 12 atoms:
Br1 0.3218 0.2486 0.4999  0.00
Br2 0.8671 0.2213 0.7788  -0.03
Br3 0.1330 0.7787 0.7789  -0.03
Br4 0.6782 0.7514 0.5001  0.00
Br5 0.6878 0.7842 0.9999  -0.04
Sr1 0.0000 0.0000 0.5000  0.00
K1 0.5000 0.4999 0.7468  0.00
Br6 0.1329 0.7787 0.2212  -0.03
K2 0.5000 0.5001 0.2532  0.00
Br7 0.8670 0.2213 0.2211  -0.03
Np1 0.0000 0.0000 0.0000  3.21
Br8 0.3122 0.2158 0.0001  -0.04


(12)
Computed, not measured: a relaxed structure of LaSm2Ag3 at the GGA-PBE level of DFT.

Energy relative to the elements = -1.64 eV per formula unit
Magnetic moment = 0.003 μB/f.u.

a b c (Å): 3.7297 3.7297 11.3590
angles (deg): 90.00 90.00 90.00
Fractional coordinates of all 6 atoms:
Sm1 0.5000 0.5000 0.8369
Ag1 0.0000 0.0000 0.6794
Ag2 0.0000 0.0000 0.3206
Ag3 0.0000 0.0000 0.0000
La1 0.5000 0.5000 0.5000
Sm2 0.5000 0.5000 0.1631


Question: Among the records above, which one has the highest magnetic moment?
Answer: KMoP2Os